Entry from the Alexandria database: a relaxed Tc3AgO crystal (PBE).

Cell and atoms, written as CIF:
```
data_Tc3AgO
_chemical_formula_sum 'Tc3 Ag1 O1'
_symmetry_space_group_name_H-M 'P 1'
_symmetry_Int_Tables_number 1
_symmetry_space_group_name_Hall 'P 1'
_cell_length_a 5.058
_cell_length_b 5.058
_cell_length_c 5.058
_cell_angle_alpha 90.00
_cell_angle_beta 90.00
_cell_angle_gamma 90.00
loop_
_atom_site_label
_atom_site_type_symbol
_atom_site_fract_x
_atom_site_fract_y
_atom_site_fract_z
Ag1 Ag 0.000 0.000 0.000
O1 O 0.500 0.500 0.500
Tc1 Tc 0.500 0.000 0.000
Tc2 Tc 0.000 0.500 0.000
Tc3 Tc 0.000 0.000 0.500
```

Calculated volume   129.4 Å³/cell
Calculated density   5.4 g/cm³
Polymorph energy (0 for the lowest one)   2.604 eV/atom
DOS(E_F)   2.1 states/eV/cell

Entry from the Alexandria database: a relaxed TcAg2O4 crystal (PBE).

Cell and atoms, written as CIF:
```
data_TcAg2O4
_chemical_formula_sum 'Tc1 Ag2 O4'
_symmetry_space_group_name_H-M 'P 1'
_symmetry_Int_Tables_number 1
_symmetry_space_group_name_Hall 'P 1'
_cell_length_a 3.774
_cell_length_b 3.774
_cell_length_c 7.212
_cell_angle_alpha 74.83
_cell_angle_beta 74.83
_cell_angle_gamma 90.00
loop_
_atom_site_label
_atom_site_type_symbol
_atom_site_fract_x
_atom_site_fract_y
_atom_site_fract_z
Ag1 Ag 0.683 0.683 0.633
Ag2 Ag 0.317 0.317 0.367
O1 O 0.000 0.500 0.000
O2 O 0.856 0.856 0.288
O3 O 0.144 0.144 0.712
O4 O 0.500 0.000 0.000
Tc1 Tc 0.000 0.000 0.000
```

Calculated volume   95.4 Å³/cell
Calculated density   6.6 g/cm³
DOS(E_F)   2.9 states/eV/cell

Entry from the Alexandria database: a relaxed TcAgO6 crystal (PBE).

Cell and atoms, written as CIF:
```
data_TcAgO6
_chemical_formula_sum 'Tc1 Ag1 O6'
_symmetry_space_group_name_H-M 'P 1'
_symmetry_Int_Tables_number 1
_symmetry_space_group_name_Hall 'P 1'
_cell_length_a 5.668
_cell_length_b 5.668
_cell_length_c 5.668
_cell_angle_alpha 60.00
_cell_angle_beta 60.00
_cell_angle_gamma 60.00
loop_
_atom_site_label
_atom_site_type_symbol
_atom_site_fract_x
_atom_site_fract_y
_atom_site_fract_z
O1 O 0.767 0.233 0.233
O2 O 0.233 0.767 0.767
O3 O 0.233 0.767 0.233
O4 O 0.233 0.233 0.767
O5 O 0.767 0.233 0.767
O6 O 0.767 0.767 0.233
Tc1 Tc 0.000 0.000 0.000
Ag1 Ag 0.500 0.500 0.500
```

Calculated volume   128.7 Å³/cell
Calculated density   3.9 g/cm³
DOS(E_F)   8.6 states/eV/cell

Entry from the Alexandria database: a relaxed Tc2Ag3O8 crystal (PBE).

Cell and atoms, written as CIF:
```
data_Tc2Ag3O8
_chemical_formula_sum 'Tc2 Ag3 O8'
_symmetry_space_group_name_H-M 'P 1'
_symmetry_Int_Tables_number 1
_symmetry_space_group_name_Hall 'P 1'
_cell_length_a 6.084
_cell_length_b 6.084
_cell_length_c 7.115
_cell_angle_alpha 64.69
_cell_angle_beta 64.69
_cell_angle_gamma 60.00
loop_
_atom_site_label
_atom_site_type_symbol
_atom_site_fract_x
_atom_site_fract_y
_atom_site_fract_z
O1 O 0.263 0.744 0.730
O2 O 0.298 0.298 0.104
O3 O 0.256 0.737 0.270
O4 O 0.737 0.256 0.270
O5 O 0.263 0.263 0.730
O6 O 0.744 0.263 0.730
O7 O 0.737 0.737 0.270
O8 O 0.702 0.702 0.896
Ag1 Ag 0.178 0.178 0.465
Ag2 Ag 0.822 0.822 0.535
Ag3 Ag 0.000 0.000 0.000
Tc1 Tc 0.393 0.393 0.820
Tc2 Tc 0.607 0.607 0.180
```

Calculated volume   198.3 Å³/cell
Calculated density   5.4 g/cm³
DOS(E_F)   6.1 states/eV/cell

Entry from the Alexandria database: a relaxed Tc2AgO8 crystal (PBE).

Cell and atoms, written as CIF:
```
data_Tc2AgO8
_chemical_formula_sum 'Tc2 Ag1 O8'
_symmetry_space_group_name_H-M 'P 1'
_symmetry_Int_Tables_number 1
_symmetry_space_group_name_Hall 'P 1'
_cell_length_a 7.119
_cell_length_b 6.763
_cell_length_c 5.502
_cell_angle_alpha 104.76
_cell_angle_beta 90.00
_cell_angle_gamma 121.76
loop_
_atom_site_label
_atom_site_type_symbol
_atom_site_fract_x
_atom_site_fract_y
_atom_site_fract_z
Tc1 Tc 0.186 0.371 0.658
Tc2 Tc 0.814 0.629 0.342
O1 O 0.320 0.246 0.761
O2 O 0.341 0.682 0.782
O3 O 0.680 0.754 0.239
O4 O 0.151 0.303 0.318
O5 O 0.926 0.246 0.761
O6 O 0.659 0.318 0.218
O7 O 0.074 0.754 0.239
O8 O 0.849 0.697 0.682
Ag1 Ag 0.000 0.000 0.000
```

Calculated volume   214.9 Å³/cell
Calculated density   3.3 g/cm³
DOS(E_F)   8.1 states/eV/cell

Entry from the Alexandria database: a relaxed TcAgTeO2 crystal (PBE).

Cell and atoms, written as CIF:
```
data_TcAgTeO2
_chemical_formula_sum 'Tc1 Ag1 Te1 O2'
_symmetry_space_group_name_H-M 'P 1'
_symmetry_Int_Tables_number 1
_symmetry_space_group_name_Hall 'P 1'
_cell_length_a 3.855
_cell_length_b 3.855
_cell_length_c 5.902
_cell_angle_alpha 90.00
_cell_angle_beta 90.00
_cell_angle_gamma 90.00
loop_
_atom_site_label
_atom_site_type_symbol
_atom_site_fract_x
_atom_site_fract_y
_atom_site_fract_z
O1 O 0.000 0.500 0.000
O2 O 0.500 0.000 0.000
Tc1 Tc 0.000 0.000 0.000
Ag1 Ag 0.500 0.500 0.500
Te1 Te 0.000 0.000 0.500
```

Calculated volume   87.7 Å³/cell
Calculated density   6.9 g/cm³
DOS(E_F)   0.9 states/eV/cell

Entry from the Alexandria database: a relaxed TiTcAg2O crystal (PBE).

Cell and atoms, written as CIF:
```
data_TiTcAg2O
_chemical_formula_sum 'Ti1 Tc1 Ag2 O1'
_symmetry_space_group_name_H-M 'P 1'
_symmetry_Int_Tables_number 1
_symmetry_space_group_name_Hall 'P 1'
_cell_length_a 4.503
_cell_length_b 3.841
_cell_length_c 4.503
_cell_angle_alpha 90.00
_cell_angle_beta 90.00
_cell_angle_gamma 90.00
loop_
_atom_site_label
_atom_site_type_symbol
_atom_site_fract_x
_atom_site_fract_y
_atom_site_fract_z
Ag1 Ag 0.000 0.000 0.500
Ag2 Ag 0.500 0.000 0.000
O1 O 0.000 0.000 0.000
Ti1 Ti 0.000 0.500 0.000
Tc1 Tc 0.500 0.500 0.500
```

Calculated volume   77.9 Å³/cell
Calculated density   8.1 g/cm³
DOS(E_F)   5.6 states/eV/cell

Entry from the Alexandria database: a relaxed Tl2TcAgO4 crystal (PBE).

Cell and atoms, written as CIF:
```
data_Tl2TcAgO4
_chemical_formula_sum 'Tl4 Tc2 Ag2 O8'
_symmetry_space_group_name_H-M 'P 1'
_symmetry_Int_Tables_number 1
_symmetry_space_group_name_Hall 'P 1'
_cell_length_a 5.348
_cell_length_b 6.372
_cell_length_c 11.318
_cell_angle_alpha 84.31
_cell_angle_beta 76.34
_cell_angle_gamma 65.19
loop_
_atom_site_label
_atom_site_type_symbol
_atom_site_fract_x
_atom_site_fract_y
_atom_site_fract_z
O1 O 0.958 0.704 0.606
O2 O 0.412 0.796 0.106
O3 O 0.338 0.704 0.394
O4 O 0.482 0.204 0.106
O5 O 0.792 0.796 0.894
O6 O 0.268 0.296 0.394
O7 O 0.436 0.296 0.606
O8 O 0.314 0.204 0.894
Tl1 Tl 0.845 0.000 0.311
Tl2 Tl 0.905 0.500 0.189
Tl3 Tl 0.155 0.000 0.689
Tl4 Tl 0.595 0.500 0.811
Ag1 Ag 0.750 0.500 0.500
Ag2 Ag 0.000 0.000 0.000
Tc1 Tc 0.250 0.500 0.500
Tc2 Tc 0.500 0.000 0.000
```

Calculated volume   340.2 Å³/cell
Calculated density   6.6 g/cm³
DOS(E_F)   2.1 states/eV/cell

Entry from the Alexandria database: a relaxed TlTc2AgO8 crystal (PBE).

Cell and atoms, written as CIF:
```
data_TlTc2AgO8
_chemical_formula_sum 'Tl1 Tc2 Ag1 O8'
_symmetry_space_group_name_H-M 'P 1'
_symmetry_Int_Tables_number 1
_symmetry_space_group_name_Hall 'P 1'
_cell_length_a 6.677
_cell_length_b 6.677
_cell_length_c 6.677
_cell_angle_alpha 107.63
_cell_angle_beta 107.63
_cell_angle_gamma 113.22
loop_
_atom_site_label
_atom_site_type_symbol
_atom_site_fract_x
_atom_site_fract_y
_atom_site_fract_z
O1 O 0.361 0.541 0.180
O2 O 0.891 0.214 0.323
O3 O 0.786 0.109 0.677
O4 O 0.432 0.109 0.323
O5 O 0.891 0.568 0.677
O6 O 0.361 0.181 0.820
O7 O 0.819 0.639 0.180
O8 O 0.459 0.639 0.820
Ag1 Ag 0.250 0.750 0.500
Tc1 Tc 0.750 0.250 0.500
Tc2 Tc 0.500 0.500 0.000
Tl1 Tl 0.000 0.000 0.000
```

Calculated volume   228.4 Å³/cell
Calculated density   4.6 g/cm³
DOS(E_F)   0.0 states/eV/cell

Entry from the Alexandria database: a relaxed Tl3Tc2AgO8 crystal (PBE).

Cell and atoms, written as CIF:
```
data_Tl3Tc2AgO8
_chemical_formula_sum 'Tl3 Tc2 Ag1 O8'
_symmetry_space_group_name_H-M 'P 1'
_symmetry_Int_Tables_number 1
_symmetry_space_group_name_Hall 'P 1'
_cell_length_a 6.142
_cell_length_b 6.142
_cell_length_c 7.950
_cell_angle_alpha 90.00
_cell_angle_beta 90.00
_cell_angle_gamma 120.00
loop_
_atom_site_label
_atom_site_type_symbol
_atom_site_fract_x
_atom_site_fract_y
_atom_site_fract_z
Tl1 Tl 0.000 0.000 0.000
Tl2 Tl 0.333 0.667 0.658
Tl3 Tl 0.667 0.333 0.342
O1 O 0.667 0.333 0.019
O2 O 0.175 0.350 0.286
O3 O 0.333 0.667 0.981
O4 O 0.650 0.825 0.286
O5 O 0.175 0.825 0.286
O6 O 0.350 0.175 0.714
O7 O 0.825 0.175 0.714
O8 O 0.825 0.650 0.714
Tc1 Tc 0.333 0.667 0.205
Tc2 Tc 0.667 0.333 0.795
Ag1 Ag 0.000 0.000 0.500
```

Calculated volume   259.7 Å³/cell
Calculated density   6.7 g/cm³
DOS(E_F)   9.2 states/eV/cell

Which energy relative to the elements, uncorrected belongs to each record? In order, 275.40; -62.15; -11.94; -84.11; -95.02; -65.12; 11.48; -65.62; -112.44; -99.66 kJ per mole of atoms.